1.
Computed, not measured: an optimized crystal structure of LiCdSbIr at the PBE level of DFT.

a = 4.6346 Å, b = 4.6346 Å, c = 4.6346 Å
α = 60.00°, β = 60.00°, γ = 60.00°
Positions (direct):
Sb 0.5000 0.5000 0.5000
Ir 0.2500 0.2500 0.2500
Cd 0.0000 0.0000 0.0000
Li 0.7500 0.7500 0.7500

Calculated values
E_form (uncorrected) = -0.2097 eV/atom
VASP energy = -0.3060 Ry/atom
Calculated volume = 17.60 Å³/atom
Space-group type = F-43m (216)
Total moment = 0.00 μB/f.u.


2.
Computed, not measured: an optimized crystal structure of Ac3AgGe at the PBE level of DFT.

a = 6.3889 Å, b = 9.1347 Å, c = 12.0535 Å
α = 97.49°, β = 90.00°, γ = 90.00°
Positions (direct):
Ge 0.9265 0.5451 0.1038
Ge 0.4265 0.4549 0.3962
Ge 0.5735 0.5451 0.6038
Ge 0.0735 0.4549 0.8962
Ac 0.9582 0.1332 0.7392
Ac 0.4172 0.2018 0.5534
Ac 0.0828 0.2018 0.0534
Ac 0.5828 0.7982 0.4466
Ac 0.4287 0.5643 0.1493
Ac 0.0713 0.5643 0.6493
Ac 0.0418 0.8668 0.2608
Ac 0.9287 0.4357 0.3507
Ac 0.9172 0.7982 0.9466
Ac 0.5418 0.1332 0.2392
Ac 0.4582 0.8668 0.7608
Ac 0.5713 0.4357 0.8507
Ag 0.8923 0.1236 0.4601
Ag 0.6077 0.1236 0.9601
Ag 0.1077 0.8764 0.5399
Ag 0.3923 0.8764 0.0399

Calculated values
VASP energy = -0.3119 Ry/atom
Calculated volume = 34.87 Å³/atom
Formation energy = -27.46 kJ per mole of atoms
Space-group type = P2_1/c (14)
Total moment = 0.00 μB/f.u.


3.
Computed, not measured: an optimized crystal structure of CaAcAlPd at the PBE level of DFT.

a = 5.3447 Å, b = 5.3447 Å, c = 5.3447 Å
α = 60.00°, β = 60.00°, γ = 60.00°
Positions (direct):
Pd 0.7500 0.7500 0.7500
Al 0.2500 0.2500 0.2500
Ca 0.0000 0.0000 0.0000
Ac 0.5000 0.5000 0.5000

Calculated values
VASP energy = -0.3055 Ry/atom
Calculated volume = 26.99 Å³/atom
Formation energy = -38.11 kJ per mole of atoms
Space-group type = F-43m (216)
Total moment = 0.00 μB/f.u.